No. 1
A plane-wave DFT calculation with PBE was carried out for Pm4Ni3Ge after structural relaxation.

```
data_Pm4Ni3Ge
_cell_length_a 4.028
_cell_length_b 4.248
_cell_length_c 10.524
_cell_angle_alpha 90.00
_cell_angle_beta 90.00
_cell_angle_gamma 90.00
_space_group_name_H-M_alt 'P 1'
_space_group_IT_number 1
_space_group_name_Hall 'P 1'
loop_
_atom_site_label
_atom_site_fract_x
_atom_site_fract_y
_atom_site_fract_z
_atom_site_occupancy
Pm1 0.000 0.000 0.000 1
Pm2 0.000 0.500 0.271 1
Pm3 0.500 0.000 0.484 1
Pm4 0.500 0.500 0.773 1
Ni1 0.000 0.500 0.559 1
Ni2 0.500 0.000 0.201 1
Ni3 0.500 0.500 0.069 1
Ge1 0.000 0.000 0.701 1
```

Calculated values
Formation energy = -0.465 eV/atom
Volume = 180 Å³ per cell
Total moment = 0.000 μB/atom



No. 2
A plane-wave DFT calculation with PBE was carried out for PmNi7Ge2 after structural relaxation.

```
data_PmNi7Ge2
_cell_length_a 6.547
_cell_length_b 6.547
_cell_length_c 4.426
_cell_angle_alpha 90.00
_cell_angle_beta 90.00
_cell_angle_gamma 119.55
_space_group_name_H-M_alt 'P 1'
_space_group_IT_number 1
_space_group_name_Hall 'P 1'
loop_
_atom_site_label
_atom_site_fract_x
_atom_site_fract_y
_atom_site_fract_z
_atom_site_occupancy
Pm1 0.000 0.000 0.000 1
Ni1 0.068 0.301 0.500 1
Ni2 0.237 0.763 0.000 1
Ni3 0.301 0.068 0.500 1
Ni4 0.500 0.500 0.500 1
Ni5 0.699 0.932 0.500 1
Ni6 0.763 0.237 0.000 1
Ni7 0.932 0.699 0.500 1
Ge1 0.298 0.702 0.500 1
Ge2 0.702 0.298 0.500 1
```

Calculated values
Formation energy = 0.111 eV/atom
Volume = 165 Å³ per cell
Total moment = 0.000 μB/atom



No. 3
A plane-wave DFT calculation with PBE was carried out for PmNiGe after structural relaxation.

```
data_PmNiGe
_cell_length_a 5.364
_cell_length_b 7.469
_cell_length_c 5.650
_cell_angle_alpha 90.00
_cell_angle_beta 90.00
_cell_angle_gamma 90.00
_space_group_name_H-M_alt 'P 1'
_space_group_IT_number 1
_space_group_name_Hall 'P 1'
loop_
_atom_site_label
_atom_site_fract_x
_atom_site_fract_y
_atom_site_fract_z
_atom_site_occupancy
Pm1 0.147 0.102 0.250 1
Pm2 0.147 0.398 0.750 1
Pm3 0.853 0.602 0.250 1
Pm4 0.853 0.898 0.750 1
Ni1 0.378 0.051 0.750 1
Ni2 0.378 0.449 0.250 1
Ni3 0.622 0.551 0.750 1
Ni4 0.622 0.949 0.250 1
Ge1 0.346 0.750 0.000 1
Ge2 0.346 0.750 0.500 1
Ge3 0.654 0.250 0.000 1
Ge4 0.654 0.250 0.500 1
```

Calculated values
Formation energy = -0.577 eV/atom
Volume = 226 Å³ per cell
Total moment = 0.000 μB/atom



No. 4
A plane-wave DFT calculation with PBE was carried out for Pm4NiGe8 after structural relaxation.

```
data_Pm4NiGe8
_cell_length_a 4.055
_cell_length_b 4.185
_cell_length_c 16.661
_cell_angle_alpha 90.00
_cell_angle_beta 90.00
_cell_angle_gamma 90.00
_space_group_name_H-M_alt 'P 1'
_space_group_IT_number 1
_space_group_name_Hall 'P 1'
loop_
_atom_site_label
_atom_site_fract_x
_atom_site_fract_y
_atom_site_fract_z
_atom_site_occupancy
Pm1 0.000 0.000 0.000 1
Pm2 0.000 0.500 0.499 1
Pm3 0.500 0.000 0.789 1
Pm4 0.500 0.500 0.289 1
Ni1 0.000 0.000 0.208 1
Ge1 0.000 0.000 0.350 1
Ge2 0.000 0.000 0.641 1
Ge3 0.000 0.500 0.136 1
Ge4 0.000 0.500 0.843 1
Ge5 0.500 0.000 0.137 1
Ge6 0.500 0.000 0.446 1
Ge7 0.500 0.500 0.647 1
Ge8 0.500 0.500 0.940 1
```

Calculated values
Formation energy = -0.658 eV/atom
Volume = 283 Å³ per cell
Total moment = 0.000 μB/atom



No. 5
A plane-wave DFT calculation with PBE was carried out for PmNi2Ge2 after structural relaxation.

```
data_PmNi2Ge2
_cell_length_a 4.152
_cell_length_b 4.152
_cell_length_c 9.670
_cell_angle_alpha 90.00
_cell_angle_beta 90.00
_cell_angle_gamma 90.00
_space_group_name_H-M_alt 'P 1'
_space_group_IT_number 1
_space_group_name_Hall 'P 1'
loop_
_atom_site_label
_atom_site_fract_x
_atom_site_fract_y
_atom_site_fract_z
_atom_site_occupancy
Pm1 0.250 0.250 0.248 1
Pm2 0.750 0.750 0.752 1
Ni1 0.250 0.250 0.625 1
Ni2 0.250 0.750 0.000 1
Ni3 0.750 0.250 0.000 1
Ni4 0.750 0.750 0.375 1
Ge1 0.250 0.250 0.873 1
Ge2 0.250 0.750 0.500 1
Ge3 0.750 0.250 0.500 1
Ge4 0.750 0.750 0.127 1
```

Calculated values
Formation energy = -0.699 eV/atom
Volume = 167 Å³ per cell
Total moment = 0.000 μB/atom



No. 6
A plane-wave DFT calculation with PBE was carried out for Pm3NiGe2 after structural relaxation.

```
data_Pm3NiGe2
_cell_length_a 11.733
_cell_length_b 4.267
_cell_length_c 11.639
_cell_angle_alpha 90.00
_cell_angle_beta 90.00
_cell_angle_gamma 90.00
_space_group_name_H-M_alt 'P 1'
_space_group_IT_number 1
_space_group_name_Hall 'P 1'
loop_
_atom_site_label
_atom_site_fract_x
_atom_site_fract_y
_atom_site_fract_z
_atom_site_occupancy
Pm1 0.058 0.250 0.127 1
Pm2 0.118 0.750 0.557 1
Pm3 0.217 0.250 0.804 1
Pm4 0.283 0.750 0.304 1
Pm5 0.382 0.250 0.057 1
Pm6 0.442 0.750 0.627 1
Pm7 0.558 0.250 0.373 1
Pm8 0.618 0.750 0.943 1
Pm9 0.717 0.250 0.696 1
Pm10 0.783 0.750 0.196 1
Pm11 0.882 0.250 0.443 1
Pm12 0.942 0.750 0.873 1
Ni1 0.129 0.250 0.368 1
Ni2 0.371 0.750 0.868 1
Ni3 0.629 0.250 0.132 1
Ni4 0.871 0.750 0.632 1
Ge1 0.022 0.750 0.313 1
Ge2 0.195 0.750 0.995 1
Ge3 0.305 0.250 0.495 1
Ge4 0.478 0.250 0.813 1
Ge5 0.522 0.750 0.187 1
Ge6 0.695 0.750 0.505 1
Ge7 0.805 0.250 0.005 1
Ge8 0.978 0.250 0.687 1
```

Calculated values
Formation energy = -0.744 eV/atom
Volume = 583 Å³ per cell
Total moment = 0.128 μB/atom



No. 7
A plane-wave DFT calculation with PBE was carried out for PmNi2Ge5 after structural relaxation.

```
data_PmNi2Ge5
_cell_length_a 3.971
_cell_length_b 6.431
_cell_length_c 11.456
_cell_angle_alpha 90.00
_cell_angle_beta 90.00
_cell_angle_gamma 90.00
_space_group_name_H-M_alt 'P 1'
_space_group_IT_number 1
_space_group_name_Hall 'P 1'
loop_
_atom_site_label
_atom_site_fract_x
_atom_site_fract_y
_atom_site_fract_z
_atom_site_occupancy
Pm1 0.000 0.000 0.000 1
Pm2 0.500 0.500 0.500 1
Ni1 0.000 0.500 0.202 1
Ni2 0.000 0.500 0.798 1
Ni3 0.500 0.000 0.298 1
Ni4 0.500 0.000 0.702 1
Ge1 0.000 0.219 0.344 1
Ge2 0.000 0.219 0.656 1
Ge3 0.000 0.500 0.000 1
Ge4 0.000 0.781 0.344 1
Ge5 0.000 0.781 0.656 1
Ge6 0.500 0.000 0.500 1
Ge7 0.500 0.281 0.156 1
Ge8 0.500 0.281 0.844 1
Ge9 0.500 0.719 0.156 1
Ge10 0.500 0.719 0.844 1
```

Calculated values
Formation energy = -0.242 eV/atom
Volume = 293 Å³ per cell
Total moment = 0.000 μB/atom



No. 8
A plane-wave DFT calculation with PBE was carried out for PmNiGe after structural relaxation.

```
data_PmNiGe
_cell_length_a 4.192
_cell_length_b 4.192
_cell_length_c 3.926
_cell_angle_alpha 90.00
_cell_angle_beta 90.00
_cell_angle_gamma 120.00
_space_group_name_H-M_alt 'P 1'
_space_group_IT_number 1
_space_group_name_Hall 'P 1'
loop_
_atom_site_label
_atom_site_fract_x
_atom_site_fract_y
_atom_site_fract_z
_atom_site_occupancy
Pm1 0.000 0.000 0.000 1
Ni1 0.333 0.667 0.500 1
Ge1 0.667 0.333 0.500 1
```

Calculated values
Formation energy = -0.710 eV/atom
Volume = 60 Å³ per cell
Total moment = 0.000 μB/atom



No. 9
A plane-wave DFT calculation with PBE was carried out for Pm3Ni3Ge2 after structural relaxation.

```
data_Pm3Ni3Ge2
_cell_length_a 5.641
_cell_length_b 5.641
_cell_length_c 14.357
_cell_angle_alpha 90.00
_cell_angle_beta 90.00
_cell_angle_gamma 136.01
_space_group_name_H-M_alt 'P 1'
_space_group_IT_number 1
_space_group_name_Hall 'P 1'
loop_
_atom_site_label
_atom_site_fract_x
_atom_site_fract_y
_atom_site_fract_z
_atom_site_occupancy
Pm1 0.089 0.911 0.604 1
Pm2 0.089 0.911 0.896 1
Pm3 0.381 0.619 0.750 1
Pm4 0.619 0.381 0.250 1
Pm5 0.911 0.089 0.104 1
Pm6 0.911 0.089 0.396 1
Ni1 0.316 0.684 0.250 1
Ni2 0.379 0.621 0.538 1
Ni3 0.379 0.621 0.962 1
Ni4 0.621 0.379 0.038 1
Ni5 0.621 0.379 0.462 1
Ni6 0.684 0.316 0.750 1
Ge1 0.204 0.796 0.098 1
Ge2 0.204 0.796 0.402 1
Ge3 0.796 0.204 0.598 1
Ge4 0.796 0.204 0.902 1
```

Calculated values
Formation energy = -0.588 eV/atom
Volume = 317 Å³ per cell
Total moment = 0.000 μB/atom



No. 10
A plane-wave DFT calculation with PBE was carried out for PmNiGe after structural relaxation.

```
data_PmNiGe
_cell_length_a 6.288
_cell_length_b 6.288
_cell_length_c 6.288
_cell_angle_alpha 90.00
_cell_angle_beta 90.00
_cell_angle_gamma 90.00
_space_group_name_H-M_alt 'P 1'
_space_group_IT_number 1
_space_group_name_Hall 'P 1'
loop_
_atom_site_label
_atom_site_fract_x
_atom_site_fract_y
_atom_site_fract_z
_atom_site_occupancy
Pm1 0.000 0.000 0.000 1
Pm2 0.000 0.500 0.500 1
Pm3 0.500 0.000 0.500 1
Pm4 0.500 0.500 0.000 1
Ni1 0.250 0.250 0.750 1
Ni2 0.250 0.750 0.250 1
Ni3 0.750 0.250 0.250 1
Ni4 0.750 0.750 0.750 1
Ge1 0.000 0.000 0.500 1
Ge2 0.000 0.500 0.000 1
Ge3 0.500 0.000 0.000 1
Ge4 0.500 0.500 0.500 1
```

Calculated values
Formation energy = -0.511 eV/atom
Volume = 249 Å³ per cell
Total moment = 0.141 μB/atom



No. 11
A plane-wave DFT calculation with PBE was carried out for Pm3NiGe2 after structural relaxation.

```
data_Pm3NiGe2
_cell_length_a 7.379
_cell_length_b 7.379
_cell_length_c 7.379
_cell_angle_alpha 65.41
_cell_angle_beta 65.41
_cell_angle_gamma 65.41
_space_group_name_H-M_alt 'P 1'
_space_group_IT_number 1
_space_group_name_Hall 'P 1'
loop_
_atom_site_label
_atom_site_fract_x
_atom_site_fract_y
_atom_site_fract_z
_atom_site_occupancy
Pm1 0.053 0.750 0.447 1
Pm2 0.250 0.553 0.947 1
Pm3 0.447 0.053 0.750 1
Pm4 0.553 0.947 0.250 1
Pm5 0.750 0.447 0.053 1
Pm6 0.947 0.250 0.553 1
Ni1 0.000 0.000 0.000 1
Ni2 0.500 0.500 0.500 1
Ge1 0.141 0.141 0.141 1
Ge2 0.359 0.359 0.359 1
Ge3 0.641 0.641 0.641 1
Ge4 0.859 0.859 0.859 1
```

Calculated values
Formation energy = -0.551 eV/atom
Volume = 318 Å³ per cell
Total moment = 0.020 μB/atom



No. 12
A plane-wave DFT calculation with PBE was carried out for PmNi3Ge2 after structural relaxation.

```
data_PmNi3Ge2
_cell_length_a 8.124
_cell_length_b 8.124
_cell_length_c 9.542
_cell_angle_alpha 106.83
_cell_angle_beta 106.83
_cell_angle_gamma 27.85
_space_group_name_H-M_alt 'P 1'
_space_group_IT_number 1
_space_group_name_Hall 'P 1'
loop_
_atom_site_label
_atom_site_fract_x
_atom_site_fract_y
_atom_site_fract_z
_atom_site_occupancy
Pm1 0.000 0.000 0.000 1
Pm2 0.156 0.156 0.701 1
Pm3 0.844 0.844 0.299 1
Ni1 0.048 0.048 0.344 1
Ni2 0.214 0.214 0.390 1
Ni3 0.323 0.323 0.030 1
Ni4 0.374 0.374 0.796 1
Ni5 0.500 0.500 0.500 1
Ni6 0.626 0.626 0.204 1
Ni7 0.677 0.677 0.970 1
Ni8 0.786 0.786 0.610 1
Ni9 0.952 0.952 0.656 1
Ge1 0.200 0.200 0.129 1
Ge2 0.359 0.359 0.545 1
Ge3 0.469 0.469 0.226 1
Ge4 0.531 0.531 0.774 1
Ge5 0.641 0.641 0.455 1
Ge6 0.800 0.800 0.871 1
```

Calculated values
Formation energy = -0.599 eV/atom
Volume = 281 Å³ per cell
Total moment = 0.000 μB/atom



Please write out number 6 again, unchanged.
A plane-wave DFT calculation with PBE was carried out for Pm3NiGe2 after structural relaxation.

```
data_Pm3NiGe2
_cell_length_a 11.733
_cell_length_b 4.267
_cell_length_c 11.639
_cell_angle_alpha 90.00
_cell_angle_beta 90.00
_cell_angle_gamma 90.00
_space_group_name_H-M_alt 'P 1'
_space_group_IT_number 1
_space_group_name_Hall 'P 1'
loop_
_atom_site_label
_atom_site_fract_x
_atom_site_fract_y
_atom_site_fract_z
_atom_site_occupancy
Pm1 0.058 0.250 0.127 1
Pm2 0.118 0.750 0.557 1
Pm3 0.217 0.250 0.804 1
Pm4 0.283 0.750 0.304 1
Pm5 0.382 0.250 0.057 1
Pm6 0.442 0.750 0.627 1
Pm7 0.558 0.250 0.373 1
Pm8 0.618 0.750 0.943 1
Pm9 0.717 0.250 0.696 1
Pm10 0.783 0.750 0.196 1
Pm11 0.882 0.250 0.443 1
Pm12 0.942 0.750 0.873 1
Ni1 0.129 0.250 0.368 1
Ni2 0.371 0.750 0.868 1
Ni3 0.629 0.250 0.132 1
Ni4 0.871 0.750 0.632 1
Ge1 0.022 0.750 0.313 1
Ge2 0.195 0.750 0.995 1
Ge3 0.305 0.250 0.495 1
Ge4 0.478 0.250 0.813 1
Ge5 0.522 0.750 0.187 1
Ge6 0.695 0.750 0.505 1
Ge7 0.805 0.250 0.005 1
Ge8 0.978 0.250 0.687 1
```

Calculated values
Formation energy = -0.744 eV/atom
Volume = 583 Å³ per cell
Total moment = 0.128 μB/atom



> Number 11 is which compound?

Pm3NiGe2